Material: Pa2TlVO8
Method: DFT, GGA+U
State: optimized geometry

abc: 6.9379 6.9438 7.1270
angles: 90.00 90.00 90.00
With the nearest neighbours (Å) after each atom.
Space group Cmmm (No. 65)
One atom of each set of equivalent atoms:
Pa (0.0000, 0.0000, 0.2439) (multiplicity 4)  6 O 2.13-2.23
Tl (0.0000, 0.5000, 0.5000) (multiplicity 2)  6 O 2.20-2.37
V (0.0000, 0.5000, 0.0000) (multiplicity 2)  6 O 2.08-2.10
O (0.0000, 0.1835, 0.5000) (multiplicity 4)  1 Tl 2.20, 2 Pa 2.23
O (0.0000, 0.2005, 0.0000) (multiplicity 4)  1 V 2.08, 2 Pa 2.23
O (0.1941, 0.5000, 0.2268) (multiplicity 8)  1 V 2.10, 1 Pa 2.13

## Properties
- crystal system = orthorhombic
- volume (Å³/cell) = 343.3
- final energy (eV/atom) = -8.326
- magnetic moment (μB per cell) = 4.0